[1]
Below is CaCuTe3 after structural relaxation, with properties calculated at the PBEsol level.

a b c (Å): 5.174 5.174 5.174
angles (deg): 90.00 90.00 90.00
Space group Pm-3m (No. 221)
Symmetry-distinct sites (fractional):
Ca 0.000 0.000 0.000 [1 per cell]
Cu 0.500 0.500 0.500 [1 per cell]
Te 0.000 0.500 0.500 [3 per cell]

## Properties
- Crystal system: cubic
- Uncorrected formation energy: -297 meV/atom

---

[2]
Below is YMnIn after structural relaxation, with properties calculated at the PBEsol level.

a b c (Å): 6.852 6.852 6.852
angles (deg): 90.00 90.00 90.00
Space group F-43m (No. 216)
Symmetry-distinct sites (fractional):
Y 0.000 0.000 0.000 [4 per cell]
Mn 0.250 0.250 0.750 [4 per cell]
In 0.250 0.250 0.250 [4 per cell]

## Properties
- Crystal system: cubic
- Calculated formation energy: 705 meV/atom

---

[3]
Below is LiBiSeBr2 after structural relaxation, with properties calculated at the PBEsol level.

a b c (Å): 4.704 4.704 5.137
angles (deg): 90.00 90.00 90.00
Space group P4/mmm (No. 123)
Symmetry-distinct sites (fractional):
Li 0.000 0.000 0.000 [1 per cell]
Bi 0.500 0.500 0.500 [1 per cell]
Se 0.000 0.000 0.500 [1 per cell]
Br 0.000 0.500 0.000 [2 per cell]

## Properties
- Crystal system: tetragonal
- Uncorrected formation energy: -387 meV/atom